[1]
# Pr2PaCrO8 | the Alexandria database | PBE with a Hubbard U | relaxed
data_Pr2PaCrO8
_chemical_formula_sum 'Pr2 Pa1 Cr1 O8'
_cell_length_a 4.199
_cell_length_b 7.238
_cell_length_c 5.442
_cell_angle_alpha 90.00
_cell_angle_beta 97.68
_cell_angle_gamma 90.00
_space_group_name_H-M_alt 'P 1 2/m 1'
_space_group_IT_number 10
_space_group_name_Hall '-P 2y'
loop_
_atom_site_label
_atom_site_type_symbol
_atom_site_fract_x
_atom_site_fract_y
_atom_site_fract_z
Pr1 Pr 0.000 0.242 0.000
Pa1 Pa 0.500 0.500 0.500
Cr1 Cr 0.500 0.000 0.500
O1 O 0.055 0.500 0.262
O2 O 0.129 0.000 0.312
O3 O 0.432 0.236 0.724
# Magnetic moment in Bohr magnetons per cell: 1.0

=====

[2]
# PaCrPtO6 | the Alexandria database | PBE with a Hubbard U | relaxed
data_PaCrPtO6
_chemical_formula_sum 'Pa2 Cr2 Pt2 O12'
_cell_length_a 5.2959
_cell_length_b 5.2959
_cell_length_c 9.0423
_cell_angle_alpha 90.00
_cell_angle_beta 90.00
_cell_angle_gamma 120.00
_space_group_name_H-M_alt 'P -3 1 c'
_space_group_IT_number 163
_space_group_name_Hall '-P 3 2c'
loop_
_atom_site_label
_atom_site_type_symbol
_atom_site_fract_x
_atom_site_fract_y
_atom_site_fract_z
Pa1 Pa 0.3333 0.6667 0.2500
Cr1 Cr 0.0000 0.0000 0.0000
Pt1 Pt 0.3333 0.6667 0.7500
O1 O 0.0186 0.3355 0.6232
# Magnetic moment in Bohr magnetons per cell: 5.9

=====

[3]
# PaCr2PtO8 | the Alexandria database | PBE with a Hubbard U | relaxed
data_PaCr2PtO8
_chemical_formula_sum 'Pa2 Cr4 Pt2 O16'
_cell_length_a 6.650
_cell_length_b 6.785
_cell_length_c 6.361
_cell_angle_alpha 90.00
_cell_angle_beta 90.00
_cell_angle_gamma 90.00
_space_group_name_H-M_alt 'C m m m'
_space_group_IT_number 65
_space_group_name_Hall '-C 2 2'
loop_
_atom_site_label
_atom_site_type_symbol
_atom_site_fract_x
_atom_site_fract_y
_atom_site_fract_z
Pa1 Pa 0.000 0.000 0.000
Cr1 Cr 0.000 0.500 0.259
Pt1 Pt 0.000 0.000 0.500
O1 O 0.000 0.204 0.265
O2 O 0.180 0.500 0.000
O3 O 0.198 0.500 0.500
# Magnetic moment in Bohr magnetons per cell: 10.0

=====

[4]
# Rb2PaCrO6 | the Alexandria database | PBE with a Hubbard U | relaxed
data_Rb2PaCrO6
_chemical_formula_sum 'Rb8 Pa4 Cr4 O24'
_cell_length_a 8.343
_cell_length_b 8.343
_cell_length_c 8.343
_cell_angle_alpha 90.00
_cell_angle_beta 90.00
_cell_angle_gamma 90.00
_space_group_name_H-M_alt 'F m -3 m'
_space_group_IT_number 225
_space_group_name_Hall '-F 4 2 3'
loop_
_atom_site_label
_atom_site_type_symbol
_atom_site_fract_x
_atom_site_fract_y
_atom_site_fract_z
Rb1 Rb 0.250 0.250 0.250
Pa1 Pa 0.000 0.000 0.000
Cr1 Cr 0.000 0.000 0.500
O1 O 0.000 0.000 0.263
# Magnetic moment in Bohr magnetons per cell: 3.9

=====

[5]
# Rb4Pa3CrO12 | the Alexandria database | PBE with a Hubbard U | relaxed
data_Rb4Pa3CrO12
_chemical_formula_sum 'Rb8 Pa6 Cr2 O24'
_cell_length_a 8.614
_cell_length_b 8.614
_cell_length_c 8.614
_cell_angle_alpha 90.00
_cell_angle_beta 90.00
_cell_angle_gamma 90.00
_space_group_name_H-M_alt 'I m -3 m'
_space_group_IT_number 229
_space_group_name_Hall '-I 4 2 3'
loop_
_atom_site_label
_atom_site_type_symbol
_atom_site_fract_x
_atom_site_fract_y
_atom_site_fract_z
Rb1 Rb 0.250 0.250 0.250
Pa1 Pa 0.000 0.000 0.500
Cr1 Cr 0.000 0.000 0.000
O1 O 0.000 0.000 0.239
O2 O 0.000 0.250 0.500
# Magnetic moment in Bohr magnetons per cell: 1.9

=====

[6]
# Rb2PaCr3O12 | the Alexandria database | PBE with a Hubbard U | relaxed
data_Rb2PaCr3O12
_chemical_formula_sum 'Rb6 Pa3 Cr9 O36'
_cell_length_a 7.0393
_cell_length_b 7.0393
_cell_length_c 18.9111
_cell_angle_alpha 90.00
_cell_angle_beta 90.00
_cell_angle_gamma 120.00
_space_group_name_H-M_alt 'R -3 m'
_space_group_IT_number 166
_space_group_name_Hall '-R 3 2"'
loop_
_atom_site_label
_atom_site_type_symbol
_atom_site_fract_x
_atom_site_fract_y
_atom_site_fract_z
Rb1 Rb 0.0000 0.0000 0.1183
Pa1 Pa 0.0000 0.0000 0.5000
Cr1 Cr 0.0000 0.5000 0.0000
O1 O 0.0496 0.5248 0.0998
O2 O 0.0882 0.5441 0.3437
# Magnetic moment in Bohr magnetons per cell: 2.9

=====

[7]
# PaCr2RhO8 | the Alexandria database | PBE with a Hubbard U | relaxed
data_PaCr2RhO8
_chemical_formula_sum 'Pa2 Cr4 Rh2 O16'
_cell_length_a 5.043
_cell_length_b 5.043
_cell_length_c 10.055
_cell_angle_alpha 90.00
_cell_angle_beta 90.00
_cell_angle_gamma 90.00
_space_group_name_H-M_alt 'I -4 m 2'
_space_group_IT_number 119
_space_group_name_Hall 'I -4 -2'
loop_
_atom_site_label
_atom_site_type_symbol
_atom_site_fract_x
_atom_site_fract_y
_atom_site_fract_z
Pa1 Pa 0.000 0.000 0.000
Cr1 Cr 0.000 0.000 0.500
Cr2 Cr 0.000 0.500 0.750
Rh1 Rh 0.000 0.500 0.250
O1 O 0.240 0.241 0.630
# Magnetic moment in Bohr magnetons per cell: 12.0

=====

[8]
# PaCr2RuO8 | the Alexandria database | PBE with a Hubbard U | relaxed
data_PaCr2RuO8
_chemical_formula_sum 'Pa1 Cr2 Ru1 O8'
_cell_length_a 4.715
_cell_length_b 6.373
_cell_length_c 4.720
_cell_angle_alpha 90.00
_cell_angle_beta 90.68
_cell_angle_gamma 90.00
_space_group_name_H-M_alt 'P 1 2/m 1'
_space_group_IT_number 10
_space_group_name_Hall '-P 2y'
loop_
_atom_site_label
_atom_site_type_symbol
_atom_site_fract_x
_atom_site_fract_y
_atom_site_fract_z
Pa1 Pa 0.000 0.000 0.000
Cr1 Cr 0.500 0.262 0.500
Ru1 Ru 0.000 0.500 0.000
O1 O 0.203 0.273 0.799
O2 O 0.298 0.500 0.299
O3 O 0.316 0.000 0.318
# Magnetic moment in Bohr magnetons per cell: 3.8

=====

[9]
# PaCr2SbO8 | the Alexandria database | PBE with a Hubbard U | relaxed
data_PaCr2SbO8
_chemical_formula_sum 'Pa2 Cr4 Sb2 O16'
_cell_length_a 7.109
_cell_length_b 7.109
_cell_length_c 6.540
_cell_angle_alpha 90.00
_cell_angle_beta 90.00
_cell_angle_gamma 90.00
_space_group_name_H-M_alt 'I -4 m 2'
_space_group_IT_number 119
_space_group_name_Hall 'I -4 -2'
loop_
_atom_site_label
_atom_site_type_symbol
_atom_site_fract_x
_atom_site_fract_y
_atom_site_fract_z
Pa1 Pa 0.000 0.000 0.000
Cr1 Cr 0.000 0.000 0.500
Cr2 Cr 0.000 0.500 0.250
Sb1 Sb 0.000 0.500 0.750
O1 O 0.000 0.180 0.694
O2 O 0.000 0.312 0.066
# Magnetic moment in Bohr magnetons per cell: 8.0

=====

[10]
# PaCrSbO6 | the Alexandria database | PBE with a Hubbard U | relaxed
data_PaCrSbO6
_chemical_formula_sum 'Pa2 Cr2 Sb2 O12'
_cell_length_a 5.5354
_cell_length_b 5.5354
_cell_length_c 9.0597
_cell_angle_alpha 90.00
_cell_angle_beta 90.00
_cell_angle_gamma 120.00
_space_group_name_H-M_alt 'P -3 1 c'
_space_group_IT_number 163
_space_group_name_Hall '-P 3 2c'
loop_
_atom_site_label
_atom_site_type_symbol
_atom_site_fract_x
_atom_site_fract_y
_atom_site_fract_z
Pa1 Pa 0.3333 0.6667 0.2500
Cr1 Cr 0.0000 0.0000 0.0000
Sb1 Sb 0.3333 0.6667 0.7500
O1 O 0.0228 0.3509 0.6300
# Magnetic moment in Bohr magnetons per cell: 8.0

=====

[11]
# ScPaCrO6 | the Alexandria database | PBE with a Hubbard U | relaxed
data_ScPaCrO6
_chemical_formula_sum 'Sc2 Pa2 Cr2 O12'
_cell_length_a 5.3607
_cell_length_b 5.3607
_cell_length_c 9.0092
_cell_angle_alpha 90.00
_cell_angle_beta 90.00
_cell_angle_gamma 120.00
_space_group_name_H-M_alt 'P -3 1 c'
_space_group_IT_number 163
_space_group_name_Hall '-P 3 2c'
loop_
_atom_site_label
_atom_site_type_symbol
_atom_site_fract_x
_atom_site_fract_y
_atom_site_fract_z
Sc1 Sc 0.0000 0.0000 0.0000
Pa1 Pa 0.3333 0.6667 0.2500
Cr1 Cr 0.3333 0.6667 0.7500
O1 O 0.0325 0.3555 0.6313
# Magnetic moment in Bohr magnetons per cell: 4.0

=====

[12]
# Pa3CrSe2O6 | the Alexandria database | PBE with a Hubbard U | relaxed
data_Pa3CrSe2O6
_chemical_formula_sum 'Pa6 Cr2 Se4 O12'
_cell_length_a 12.249
_cell_length_b 7.641
_cell_length_c 6.111
_cell_angle_alpha 90.00
_cell_angle_beta 108.92
_cell_angle_gamma 90.00
_space_group_name_H-M_alt 'C 1 2/m 1'
_space_group_IT_number 12
_space_group_name_Hall '-C 2y'
loop_
_atom_site_label
_atom_site_type_symbol
_atom_site_fract_x
_atom_site_fract_y
_atom_site_fract_z
Pa1 Pa 0.000 0.000 0.000
Pa2 Pa 0.250 0.250 0.500
Cr1 Cr 0.000 0.500 0.500
Se1 Se 0.182 0.000 0.789
O1 O 0.096 0.195 0.233
O2 O 0.174 0.500 0.560
# Magnetic moment in Bohr magnetons per cell: 10.0

=====

no.,volume (Å³/atom),electronic total energy (eV per atom)
1,13.658,-8.208
2,12.202,-7.850
3,11.958,-7.779
4,14.517,-7.001
5,15.981,-7.548
6,15.029,-6.802
7,10.654,-7.668
8,11.819,-8.185
9,13.770,-7.673
10,13.356,-7.761
11,12.456,-8.686
12,22.544,-8.715